TbPr5N6: relaxed, PBE.

Cell and atoms, written as CIF:
```
data_TbPr5N6
_chemical_formula_sum 'Tb2 Pr10 N12'
_symmetry_space_group_name_H-M 'C 1 2/m 1'
_symmetry_Int_Tables_number 12
_symmetry_space_group_name_Hall '-C 2y'
_cell_length_a 6.340
_cell_length_b 10.983
_cell_length_c 6.337
_cell_angle_alpha 90.00
_cell_angle_beta 109.46
_cell_angle_gamma 90.00
loop_
_atom_site_label
_atom_site_fract_x
_atom_site_fract_y
_atom_site_fract_z
Tb1 0.000 0.000 0.000
Pr1 0.000 0.165 0.500
Pr2 0.000 0.333 0.000
Pr3 0.000 0.500 0.500
N1 0.243 0.000 0.753
N2 0.245 0.163 0.245
```

The calculation puts the density of states at the Fermi level at 0.064 states/eV/atom. The value obtained for the volume is 17.34 Å³/atom. The energy relative to the elements, uncorrected comes out at -16.044 eV/f.u.

---

MgTeO3: relaxed, PBE.

Cell and atoms, written as CIF:
```
data_MgTeO3
_chemical_formula_sum 'Mg1 Te1 O3'
_symmetry_space_group_name_H-M 'P m -3 m'
_symmetry_Int_Tables_number 221
_symmetry_space_group_name_Hall '-P 4 2 3'
_cell_length_a 3.810
_cell_length_b 3.810
_cell_length_c 3.810
_cell_angle_alpha 90.00
_cell_angle_beta 90.00
_cell_angle_gamma 90.00
loop_
_atom_site_label
_atom_site_fract_x
_atom_site_fract_y
_atom_site_fract_z
Mg1 0.000 0.000 0.000
Te1 0.500 0.500 0.500
O1 0.000 0.000 0.500
```

The calculation puts the density of states at the Fermi level at 0.085 states/eV/atom. The value obtained for the volume is 11.06 Å³/atom. The energy relative to the elements, uncorrected comes out at -4.177 eV/f.u.

---

Ti9Ni4Pt11: relaxed, PBE.

Cell and atoms, written as CIF:
```
data_Ti9Ni4Pt11
_chemical_formula_sum 'Ti18 Ni8 Pt22'
_symmetry_space_group_name_H-M 'C m m m'
_symmetry_Int_Tables_number 65
_symmetry_space_group_name_Hall '-C 2 2'
_cell_length_a 11.182
_cell_length_b 16.859
_cell_length_c 3.777
_cell_angle_alpha 90.00
_cell_angle_beta 90.00
_cell_angle_gamma 90.00
loop_
_atom_site_label
_atom_site_fract_x
_atom_site_fract_y
_atom_site_fract_z
Ti1 0.000 0.000 0.000
Ti2 0.123 0.242 0.500
Ti3 0.138 0.417 0.500
Ni1 0.121 0.080 0.500
Pt1 0.000 0.162 0.000
Pt2 0.000 0.334 0.000
Pt3 0.000 0.500 0.000
Pt4 0.244 0.000 0.000
Pt5 0.249 0.166 0.000
```

Its formation energy from the elements is -808 meV/atom. The calculation puts the density of states at the Fermi level at 1.083 states/eV/atom. The value obtained for the volume is 14.83 Å³/atom.

---

Ce2ZnAgIr: relaxed, PBE.

Cell and atoms, written as CIF:
```
data_Ce2ZnAgIr
_chemical_formula_sum 'Ce4 Zn2 Ag2 Ir2'
_symmetry_space_group_name_H-M 'P 1 21/m 1'
_symmetry_Int_Tables_number 11
_symmetry_space_group_name_Hall '-P 2yb'
_cell_length_a 7.416
_cell_length_b 4.196
_cell_length_c 7.893
_cell_angle_alpha 90.00
_cell_angle_beta 110.61
_cell_angle_gamma 90.00
loop_
_atom_site_label
_atom_site_fract_x
_atom_site_fract_y
_atom_site_fract_z
Ce1 0.019 0.250 0.212
Ce2 0.360 0.750 0.617
Zn1 0.356 0.250 0.952
Ag1 0.326 0.750 0.172
Ir1 0.112 0.250 0.621
```

Its formation energy from the elements is -408 meV/atom. The calculation puts the density of states at the Fermi level at 2.152 states/eV/atom. The value obtained for the volume is 22.99 Å³/atom.